{
  "formula": "Zr3MoF",
  "functional": "GGA+U",
  "state": "relaxed",
  "cell": [[5.107, 0.000, 0.000], [0.000, 5.107, 0.000], [0.000, 0.000, 5.107]],
  "species": ["F", "Zr", "Zr", "Zr", "Mo"],
  "frac_coords": [[0.500, 0.500, 0.500], [0.500, 0.000, 0.000], [0.000, 0.500, 0.000], [0.000, 0.000, 0.500], [0.000, 0.000, 0.000]],
  "e_tot_ev_per_cell": -30.1,
  "space_group": "No. 221",
  "polymorph_energy_mev_per_atom": 1158,
  "magnetic_moment_mub_per_atom": 0.001
}